Dy8Tm6Sn GGA-PBE optimized geometry; ΔH_f (0 K) = 0.06 eV/atom; magnetic moment = 0.00 μB/atom
1.0
6.335 0.000 0.000
0.000 8.002 -4.620
0.000 0.000 9.240
Dy Sn Tm
8 1 6
direct
0.185 0.268 0.226
0.185 0.774 0.041
0.815 0.041 0.267
0.809 0.333 0.667
0.815 0.226 0.959
0.185 0.959 0.732
0.815 0.733 0.774
0.190 0.667 0.333
0.500 0.000 0.000
0.677 0.452 0.356
0.323 0.549 0.644
0.323 0.095 0.451
0.677 0.905 0.548
0.677 0.644 0.095
0.323 0.356 0.905

***

Dy4Tm5Sn2 GGA-PBE optimized geometry; ΔH_f (0 K) = 0.12 eV/atom; magnetic moment = 0.01 μB/atom
1.0
5.178 0.000 0.000
2.589 4.485 0.000
2.589 1.495 15.305
Tm Dy Sn
5 4 2
direct
0.500 0.500 0.500
0.352 0.352 0.943
0.804 0.804 0.589
0.648 0.648 0.057
0.196 0.196 0.411
0.726 0.726 0.821
0.429 0.429 0.714
0.274 0.274 0.179
0.571 0.571 0.286
0.877 0.877 0.368
0.123 0.123 0.632

***

Dy8Tm2Sn GGA-PBE optimized geometry; ΔH_f (0 K) = -0.10 eV/atom; magnetic moment = 0.00 μB/atom
1.0
5.510 0.000 0.000
0.000 6.259 1.298
-2.755 -1.150 9.573
Dy Tm Sn
8 2 1
direct
0.662 0.878 0.325
0.845 0.802 0.689
0.044 0.737 0.088
0.956 0.263 0.912
0.338 0.122 0.675
0.421 0.598 0.842
0.579 0.402 0.158
0.155 0.198 0.311
0.757 0.338 0.514
0.243 0.662 0.486
0.500 0.000 0.000